{"formula": "PrZr2TiN4", "functional": "PBE", "state": "relaxed", "e_form_raw_mev_per_atom": -1427, "magnetic_moment_mub_per_cell": 0.000, "crystal_system": "orthorhombic", "energy_ev_per_cell": -148.98, "cell": [[1.644, -5.792, 0.000], [1.644, 5.792, 0.000], [0.000, 0.000, 11.470]], "species": ["Pr", "Pr", "Zr", "Zr", "Zr", "Zr", "Ti", "Ti", "N", "N", "N", "N", "N", "N", "N", "N"], "frac_coords": [[0.101, 0.899, 0.750], [0.899, 0.101, 0.250], [0.371, 0.629, 0.537], [0.371, 0.629, 0.963], [0.629, 0.371, 0.037], [0.629, 0.371, 0.463], [0.162, 0.838, 0.250], [0.838, 0.162, 0.750], [0.000, 0.000, 0.000], [0.000, 0.000, 0.500], [0.262, 0.738, 0.117], [0.262, 0.738, 0.383], [0.437, 0.563, 0.750], [0.563, 0.437, 0.250], [0.738, 0.262, 0.617], [0.738, 0.262, 0.883]]}